# MnAg2P

MnAg2P at its PBEsol-relaxed geometry (meta-GGA SCAN, Alexandria via LeMat-Bulk).

The total magnetization is 1.04 μB/atom. As for the formation energy: 0.26 eV per atom. The volume is 15.57 Å³/atom.

The space group is R-3m (No. 166, hexagonal axes) and the conventional cell measures 2.8502, 2.8502 and 26.5623 Å, with angles of 90.00, 90.00 and 120.00 degrees. The asymmetric unit holds Mn at (0.0000, 0.0000, 0.0000), Ag at (0.0000, 0.0000, 0.2497) and P at (0.0000, 0.0000, 0.5000).


# Mn4AgP

Mn4AgP at its PBEsol-relaxed geometry (meta-GGA SCAN, Alexandria via LeMat-Bulk).

The total magnetization is 1.48 μB/atom. As for the formation energy: 0.52 eV per atom. The volume is 12.32 Å³/atom.

The space group is F-43m (No. 216) and the conventional cell measures 6.661, 6.661 and 6.661 Å, with angles of 90.00, 90.00 and 90.00 degrees. The asymmetric unit holds Mn at (0.124, 0.124, 0.124), Ag at (0.000, 0.000, 0.500) and P at (0.250, 0.250, 0.750).


# MnAg2P

MnAg2P at its PBEsol-relaxed geometry (meta-GGA SCAN, Alexandria via LeMat-Bulk).

The total magnetization is 1.02 μB/atom. As for the formation energy: 0.10 eV per atom. The volume is 15.49 Å³/atom.

The space group is P2/m (No. 10) and the conventional cell measures 2.829, 4.781 and 4.582 Å, with angles of 90.00, 91.19 and 90.00 degrees. The asymmetric unit holds Mn at (0.000, 0.000, 0.000), Ag at (0.268, 0.500, 0.751) and P at (0.500, 0.000, 0.500).


# Mn2AgPPb

Mn2AgPPb at its PBEsol-relaxed geometry (meta-GGA SCAN, Alexandria via LeMat-Bulk).

The total magnetization is 1.71 μB/atom. As for the formation energy: 1.12 eV per atom. The volume is 26.17 Å³/atom.

The space group is P4/mmm (No. 123) and the conventional cell measures 5.031, 5.031 and 5.170 Å, with angles of 90.00, 90.00 and 90.00 degrees. The asymmetric unit holds Mn at (0.000, 0.500, 0.000), Ag at (0.000, 0.000, 0.500), P at (0.500, 0.500, 0.500) and Pb at (0.500, 0.500, 0.000).


# MnAgPb2

MnAgPb2 at its PBEsol-relaxed geometry (meta-GGA SCAN, Alexandria via LeMat-Bulk).

The total magnetization is 1.05 μB/atom. As for the formation energy: 0.13 eV per atom. The volume is 21.61 Å³/atom.

The space group is P4/mmm (No. 123) and the conventional cell measures 5.048, 5.048 and 3.391 Å, with angles of 90.00, 90.00 and 90.00 degrees. The asymmetric unit holds Mn at (0.000, 0.000, 0.000), Ag at (0.500, 0.500, 0.000) and Pb at (0.000, 0.500, 0.500).


# Mn3AgPd

Mn3AgPd at its PBEsol-relaxed geometry (meta-GGA SCAN, Alexandria via LeMat-Bulk).

The total magnetization is 2.77 μB/atom. As for the formation energy: 0.45 eV per atom. The volume is 21.27 Å³/atom.

The space group is Pm-3m (No. 221) and the conventional cell measures 4.738, 4.738 and 4.738 Å, with angles of 90.00, 90.00 and 90.00 degrees. The asymmetric unit holds Mn at (0.000, 0.000, 0.500), Ag at (0.500, 0.500, 0.500) and Pd at (0.000, 0.000, 0.000).


# MnAgPt2

MnAgPt2 at its PBEsol-relaxed geometry (meta-GGA SCAN, Alexandria via LeMat-Bulk).

The total magnetization is 1.16 μB/atom. As for the formation energy: -0.34 eV per atom. The volume is 15.01 Å³/atom.

The space group is Cmmm (No. 65) and the conventional cell measures 5.568, 7.574 and 2.848 Å, with angles of 90.00, 90.00 and 90.00 degrees. The asymmetric unit holds Mn at (0.000, 0.000, 0.000), Ag at (0.000, 0.500, 0.000) and Pt at (0.250, 0.250, 0.500).


# MnAgPt2

MnAgPt2 at its PBEsol-relaxed geometry (meta-GGA SCAN, Alexandria via LeMat-Bulk).

The total magnetization is 1.10 μB/atom. As for the formation energy: -0.40 eV per atom. The volume is 14.88 Å³/atom.

The space group is Pmmm (No. 47) and the conventional cell measures 2.826, 3.691 and 5.706 Å, with angles of 90.00, 90.00 and 90.00 degrees. The asymmetric unit holds Mn at (0.000, 0.000, 0.000), Ag at (0.000, 0.000, 0.500) and Pt at (0.500, 0.500, 0.238).


# Mn2Ag2Pt

Mn2Ag2Pt at its PBEsol-relaxed geometry (meta-GGA SCAN, Alexandria via LeMat-Bulk).

The total magnetization is 0.00 μB/atom. As for the formation energy: 0.63 eV per atom. The volume is 14.69 Å³/atom.

The space group is I4/mmm (No. 139) and the conventional cell measures 3.008, 3.008 and 16.235 Å, with angles of 90.00, 90.00 and 90.00 degrees. The asymmetric unit holds Mn at (0.000, 0.500, 0.250), Ag at (0.000, 0.000, 0.111) and Pt at (0.000, 0.000, 0.500).


# MnAgPt2

MnAgPt2 at its PBEsol-relaxed geometry (meta-GGA SCAN, Alexandria via LeMat-Bulk).

The total magnetization is 1.10 μB/atom. As for the formation energy: -0.39 eV per atom. The volume is 14.89 Å³/atom.

The space group is I4/mmm (No. 139) and the conventional cell measures 3.940, 3.940 and 7.673 Å, with angles of 90.00, 90.00 and 90.00 degrees. The asymmetric unit holds Mn at (0.000, 0.000, 0.000), Ag at (0.000, 0.000, 0.500) and Pt at (0.000, 0.500, 0.250).


# MnAgPt2

MnAgPt2 at its PBEsol-relaxed geometry (meta-GGA SCAN, Alexandria via LeMat-Bulk).

The total magnetization is 1.11 μB/atom. As for the formation energy: -0.41 eV per atom. The volume is 14.89 Å³/atom.

The space group is P4/mmm (No. 123) and the conventional cell measures 3.936, 3.936 and 3.844 Å, with angles of 90.00, 90.00 and 90.00 degrees. The asymmetric unit holds Mn at (0.000, 0.000, 0.000), Ag at (0.500, 0.500, 0.000) and Pt at (0.000, 0.500, 0.500).


# MnAgPt

MnAgPt at its PBEsol-relaxed geometry (meta-GGA SCAN, Alexandria via LeMat-Bulk).

The total magnetization is 1.56 μB/atom. As for the formation energy: 0.16 eV per atom. The volume is 18.31 Å³/atom.

The space group is F-43m (No. 216) and the conventional cell measures 6.034, 6.034 and 6.034 Å, with angles of 90.00, 90.00 and 90.00 degrees. The asymmetric unit holds Mn at (0.000, 0.000, 0.000), Ag at (0.250, 0.250, 0.250) and Pt at (0.000, 0.000, 0.500).


# Mn2AgPt

Mn2AgPt at its PBEsol-relaxed geometry (meta-GGA SCAN, Alexandria via LeMat-Bulk).

The total magnetization is 2.05 μB/atom. As for the formation energy: -0.26 eV per atom. The volume is 14.76 Å³/atom.

The space group is F-43m (No. 216) and the conventional cell measures 6.181, 6.181 and 6.181 Å, with angles of 90.00, 90.00 and 90.00 degrees. The asymmetric unit holds Mn at (0.000, 0.000, 0.000), Mn at (0.250, 0.250, 0.250), Ag at (0.000, 0.000, 0.500) and Pt at (0.250, 0.250, 0.750).


# Ti2MnAgPt

Ti2MnAgPt at its PBEsol-relaxed geometry (meta-GGA SCAN, Alexandria via LeMat-Bulk).

The total magnetization is 0.33 μB/atom. As for the formation energy: 0.98 eV per atom. The volume is 21.21 Å³/atom.

The space group is P4/mmm (No. 123) and the conventional cell measures 4.668, 4.668 and 4.867 Å, with angles of 90.00, 90.00 and 90.00 degrees. The asymmetric unit holds Ti at (0.000, 0.500, 0.000), Mn at (0.000, 0.000, 0.500), Ag at (0.500, 0.500, 0.000) and Pt at (0.500, 0.500, 0.500).


# RbMnAgRh2

RbMnAgRh2 at its PBEsol-relaxed geometry (meta-GGA SCAN, Alexandria via LeMat-Bulk).

The total magnetization is 1.13 μB/atom. As for the formation energy: 1.11 eV per atom. The volume is 23.61 Å³/atom.

The space group is P4/mmm (No. 123) and the conventional cell measures 4.942, 4.942 and 4.833 Å, with angles of 90.00, 90.00 and 90.00 degrees. The asymmetric unit holds Rb at (0.000, 0.000, 0.000), Mn at (0.500, 0.500, 0.000), Ag at (0.500, 0.500, 0.500) and Rh at (0.000, 0.500, 0.500).


# Mn2ReAg

Mn2ReAg at its PBEsol-relaxed geometry (meta-GGA SCAN, Alexandria via LeMat-Bulk).

The total magnetization is 1.64 μB/atom. As for the formation energy: 0.10 eV per atom. For the distance to the lowest polymorph of the same formula, the calculation gives 19 kJ/mol of formula units. The volume is 13.83 Å³/atom.

The space group is Cmmm (No. 65) and the conventional cell measures 3.101, 4.258 and 8.380 Å, with angles of 90.00, 90.00 and 90.00 degrees. The asymmetric unit holds Mn at (0.000, 0.000, 0.236), Re at (0.000, 0.500, 0.000) and Ag at (0.000, 0.500, 0.500).


# MnRe2Ag

MnRe2Ag at its PBEsol-relaxed geometry (meta-GGA SCAN, Alexandria via LeMat-Bulk).

The total magnetization is 0.67 μB/atom. As for the formation energy: 0.37 eV per atom. For the distance to the lowest polymorph of the same formula, the calculation gives 11 kJ/mol of formula units. The volume is 14.28 Å³/atom.

The space group is Cm (No. 8) and the conventional cell measures 9.070, 2.664 and 4.804 Å, with angles of 90.00, 100.19 and 90.00 degrees. The asymmetric unit holds Mn at (0.000, 0.000, 0.000), Re at (0.014, 0.500, 0.516), Re at (0.272, 0.000, 0.740) and Ag at (0.256, 0.500, 0.233).


# Mn2ReAg

Mn2ReAg at its PBEsol-relaxed geometry (meta-GGA SCAN, Alexandria via LeMat-Bulk).

The total magnetization is 1.31 μB/atom. As for the formation energy: 0.42 eV per atom. For the distance to the lowest polymorph of the same formula, the calculation gives 141 kJ/mol of formula units. The volume is 13.04 Å³/atom.

The space group is P4/mmm (No. 123) and the conventional cell measures 3.892, 3.892 and 3.442 Å, with angles of 90.00, 90.00 and 90.00 degrees. The asymmetric unit holds Mn at (0.000, 0.500, 0.000), Re at (0.000, 0.000, 0.500) and Ag at (0.500, 0.500, 0.500).


# MnRe2Ag

MnRe2Ag at its PBEsol-relaxed geometry (meta-GGA SCAN, Alexandria via LeMat-Bulk).

The total magnetization is 0.76 μB/atom. As for the formation energy: 0.34 eV per atom. For the distance to the lowest polymorph of the same formula, the calculation gives 0 kJ/mol of formula units. The volume is 14.21 Å³/atom.

The space group is I-4m2 (No. 119) and the conventional cell measures 3.915, 3.915 and 7.415 Å, with angles of 90.00, 90.00 and 90.00 degrees. The asymmetric unit holds Mn at (0.000, 0.000, 0.000), Re at (0.000, 0.000, 0.500), Re at (0.000, 0.500, 0.250) and Ag at (0.000, 0.500, 0.750).


# MnRe2Ag

MnRe2Ag at its PBEsol-relaxed geometry (meta-GGA SCAN, Alexandria via LeMat-Bulk).

The total magnetization is 0.84 μB/atom. As for the formation energy: 0.39 eV per atom. For the distance to the lowest polymorph of the same formula, the calculation gives 20 kJ/mol of formula units. The volume is 14.47 Å³/atom.

The space group is C2/m (No. 12) and the conventional cell measures 5.253, 8.869 and 2.605 Å, with angles of 90.00, 107.50 and 90.00 degrees. The asymmetric unit holds Mn at (0.000, 0.000, 0.000), Re at (0.250, 0.250, 0.500) and Ag at (0.000, 0.500, 0.000).